Entry 1:
The following is a PBE calculation of a relaxed structure of TcOsN3, from Alexandria via LeMat-Bulk.

a = 3.849 Å, b = 3.849 Å, c = 3.849 Å
α = 90.00°, β = 90.00°, γ = 90.00°
Fractional positions:
Tc: 0.000 0.000 0.000
Os: 0.500 0.500 0.500
N: 0.000 0.500 0.500
N: 0.500 0.000 0.500
N: 0.500 0.500 0.000

Results
Total DFT energy (no corrections)   -7.89 eV/atom
Magnetic moment   2.85 Bohr magnetons per cell
ρ   9.62 g cm⁻³
Energy relative to the elements, uncorrected   1.42 eV/atom

---

Entry 2:
The following is a PBE calculation of a relaxed structure of TcOs3N, from Alexandria via LeMat-Bulk.

a = 4.036 Å, b = 4.036 Å, c = 4.036 Å
α = 90.00°, β = 90.00°, γ = 90.00°
Fractional positions:
Tc: 0.000 0.000 0.000
Os: 0.000 0.500 0.500
Os: 0.500 0.000 0.500
Os: 0.500 0.500 0.000
N: 0.500 0.500 0.500

Results
Total DFT energy (no corrections)   -9.80 eV/atom
Magnetic moment   0.00 Bohr magnetons per cell
ρ   17.25 g cm⁻³
Energy above the most stable polymorph in this dataset   0 meV/atom
Energy relative to the elements, uncorrected   0.67 eV/atom

---

Entry 3:
The following is a PBE calculation of a relaxed structure of TcOsN2, from Alexandria via LeMat-Bulk.

a = 4.746 Å, b = 4.746 Å, c = 8.572 Å
α = 90.00°, β = 90.00°, γ = 90.00°
Fractional positions:
Tc: 0.000 0.000 0.000
Tc: 0.000 0.500 0.250
Tc: 0.500 0.000 0.750
Tc: 0.500 0.500 0.500
Os: 0.000 0.000 0.500
Os: 0.000 0.500 0.750
Os: 0.500 0.000 0.250
Os: 0.500 0.500 0.000
N: 0.246 0.250 0.625
N: 0.250 0.746 0.875
N: 0.250 0.754 0.375
N: 0.254 0.250 0.125
N: 0.746 0.750 0.125
N: 0.750 0.246 0.375
N: 0.750 0.254 0.875
N: 0.754 0.750 0.625

Results
Total DFT energy (no corrections)   -9.17 eV/atom
Magnetic moment   0.00 Bohr magnetons per cell
ρ   10.88 g cm⁻³
Energy above the most stable polymorph in this dataset   92 meV/atom
Energy relative to the elements, uncorrected   0.39 eV/atom

---

Entry 4:
The following is a PBE calculation of a relaxed structure of TcOsN2, from Alexandria via LeMat-Bulk.

a = 5.406 Å, b = 5.406 Å, c = 5.406 Å
α = 90.00°, β = 90.00°, γ = 90.00°
Fractional positions:
Tc: 0.000 0.000 0.000
Tc: 0.000 0.500 0.500
Tc: 0.500 0.000 0.500
Tc: 0.500 0.500 0.000
Os: 0.000 0.000 0.500
Os: 0.000 0.500 0.000
Os: 0.500 0.000 0.000
Os: 0.500 0.500 0.500
N: 0.250 0.250 0.250
N: 0.250 0.250 0.750
N: 0.250 0.750 0.250
N: 0.250 0.750 0.750
N: 0.750 0.250 0.250
N: 0.750 0.250 0.750
N: 0.750 0.750 0.250
N: 0.750 0.750 0.750

Results
Total DFT energy (no corrections)   -8.36 eV/atom
Magnetic moment   0.00 Bohr magnetons per cell
ρ   13.30 g cm⁻³
Energy above the most stable polymorph in this dataset   906 meV/atom
Energy relative to the elements, uncorrected   1.20 eV/atom